CsGeMo2O8 | PBE+U | optimized geometry

Computed properties:
Symmetry   P-3 (147)
VASP energy   -6.53 eV/atom

Cell lengths 5.4839, 5.4839, 8.7607 Å; angles 90.00, 90.00, 120.00 degrees
Closest atoms and distances in Å follow each position.
Fractional positions:
O 0.9430 0.6823 0.3691  1 Mo 1.83, 1 Ge 1.98
O 0.7393 0.0570 0.3691  1 Mo 1.83, 1 Ge 1.98
O 0.2607 0.9430 0.6309  1 Mo 1.83, 1 Ge 1.98
O 0.6667 0.3333 0.1056  1 Mo 1.76
O 0.0570 0.3177 0.6309  1 Mo 1.83, 1 Ge 1.98
O 0.3177 0.2607 0.3691  1 Mo 1.83, 1 Ge 1.98
O 0.3333 0.6667 0.8944  1 Mo 1.76
O 0.6823 0.7393 0.6309  1 Mo 1.83, 1 Ge 1.98
Cs 0.0000 0.0000 0.0000  12 O 3.30-3.61
Ge 0.0000 0.0000 0.5000  6 O 1.98
Mo 0.6667 0.3333 0.3060  4 O 1.76-1.83
Mo 0.3333 0.6667 0.6940  4 O 1.76-1.83